Record 1
# DyTcN4 | Alexandria | PBE | optimized geometry
# Total DFT energy (no corrections) in eV/atom: -8.01
# Energy relative to the elements, uncorrected in meV/atom: 39
# Space group: I4_1/a (88)
# Magnetic moment in μB per atom: 0.330
data_DyTcN4
_chemical_formula_sum 'Dy2 Tc2 N8'
_cell_length_a 5.217
_cell_length_b 5.217
_cell_length_c 6.958
_cell_angle_alpha 112.02
_cell_angle_beta 112.02
_cell_angle_gamma 90.00
_symmetry_space_group_name_H-M 'P 1'
_symmetry_Int_Tables_number 1
loop_
_symmetry_equiv_pos_as_xyz
'x,y,z'
loop_
_atom_site_label
_atom_site_fract_x
_atom_site_fract_y
_atom_site_fract_z
_atom_site_occupancy
N1 0.725 0.330 0.170 1
N2 0.304 0.409 0.330 1
N3 0.591 0.975 0.670 1
N4 0.446 0.841 0.170 1
N5 0.670 0.554 0.830 1
N6 0.080 0.696 0.670 1
N7 0.159 0.275 0.830 1
N8 0.025 0.920 0.330 1
Tc1 0.250 0.750 0.500 1
Tc2 0.500 0.500 0.000 1
Dy1 0.750 0.250 0.500 1
Dy2 0.000 0.000 0.000 1

Record 2
# DyTcN2 | Alexandria | PBE | optimized geometry
# Total DFT energy (no corrections) in eV/atom: -8.62
# Energy relative to the elements, uncorrected in meV/atom: -719
# Space group: R-3m (166)
# Magnetic moment in μB per atom: 0.421
data_DyTcN2
_chemical_formula_sum 'Dy1 Tc1 N2'
_cell_length_a 3.310
_cell_length_b 3.310
_cell_length_c 5.395
_cell_angle_alpha 72.14
_cell_angle_beta 72.14
_cell_angle_gamma 60.00
_symmetry_space_group_name_H-M 'P 1'
_symmetry_Int_Tables_number 1
loop_
_symmetry_equiv_pos_as_xyz
'x,y,z'
loop_
_atom_site_label
_atom_site_fract_x
_atom_site_fract_y
_atom_site_fract_z
_atom_site_occupancy
Dy1 0.500 0.500 0.500 1
Tc1 0.000 0.000 0.000 1
N1 0.261 0.261 0.218 1
N2 0.739 0.739 0.782 1

Record 3
# Dy3Tc5N12 | Alexandria | PBE | optimized geometry
# Total DFT energy (no corrections) in eV/atom: -8.73
# Energy relative to the elements, uncorrected in meV/atom: -449
# Space group: Ia-3d (230)
# Magnetic moment in μB per atom: 0.000
data_Dy3Tc5N12
_chemical_formula_sum 'Dy12 Tc20 N48'
_cell_length_a 10.975
_cell_length_b 10.975
_cell_length_c 10.975
_cell_angle_alpha 109.47
_cell_angle_beta 109.47
_cell_angle_gamma 109.47
_symmetry_space_group_name_H-M 'P 1'
_symmetry_Int_Tables_number 1
loop_
_symmetry_equiv_pos_as_xyz
'x,y,z'
loop_
_atom_site_label
_atom_site_fract_x
_atom_site_fract_y
_atom_site_fract_z
_atom_site_occupancy
Tc1 0.625 0.875 0.250 1
Tc2 0.125 0.750 0.375 1
Tc3 0.000 0.500 0.000 1
Tc4 0.375 0.250 0.125 1
Tc5 0.375 0.125 0.750 1
Tc6 0.500 0.500 0.500 1
Tc7 0.125 0.375 0.250 1
Tc8 0.625 0.750 0.875 1
Tc9 0.000 0.500 0.500 1
Tc10 0.000 0.000 0.500 1
Tc11 0.750 0.625 0.375 1
Tc12 0.250 0.875 0.125 1
Tc13 0.500 0.000 0.500 1
Tc14 0.250 0.375 0.625 1
Tc15 0.500 0.000 0.000 1
Tc16 0.875 0.250 0.625 1
Tc17 0.875 0.625 0.750 1
Tc18 0.750 0.125 0.875 1
Tc19 0.000 0.000 0.000 1
Tc20 0.500 0.500 0.000 1
N1 0.417 0.299 0.318 1
N2 0.182 0.083 0.701 1
N3 0.417 0.117 0.599 1
N4 0.099 0.917 0.117 1
N5 0.982 0.383 0.299 1
N6 0.599 0.617 0.417 1
N7 0.401 0.018 0.318 1
N8 0.201 0.682 0.083 1
N9 0.701 0.117 0.018 1
N10 0.201 0.518 0.617 1
N11 0.299 0.417 0.818 1
N12 0.901 0.818 0.518 1
N13 0.701 0.583 0.182 1
N14 0.018 0.617 0.701 1
N15 0.799 0.482 0.383 1
N16 0.299 0.883 0.982 1
N17 0.383 0.401 0.083 1
N18 0.682 0.201 0.583 1
N19 0.182 0.099 0.982 1
N20 0.018 0.401 0.818 1
N21 0.799 0.318 0.917 1
N22 0.083 0.901 0.383 1
N23 0.883 0.299 0.482 1
N24 0.818 0.901 0.018 1
N25 0.883 0.583 0.901 1
N26 0.318 0.518 0.401 1
N27 0.482 0.799 0.883 1
N28 0.917 0.099 0.617 1
N29 0.117 0.417 0.099 1
N30 0.518 0.318 0.901 1
N31 0.117 0.701 0.518 1
N32 0.617 0.599 0.917 1
N33 0.599 0.982 0.682 1
N34 0.583 0.701 0.682 1
N35 0.518 0.201 0.117 1
N36 0.982 0.599 0.182 1
N37 0.318 0.799 0.417 1
N38 0.818 0.917 0.299 1
N39 0.482 0.682 0.099 1
N40 0.583 0.883 0.401 1
N41 0.083 0.182 0.201 1
N42 0.917 0.818 0.799 1
N43 0.682 0.482 0.599 1
N44 0.901 0.083 0.883 1
N45 0.617 0.018 0.201 1
N46 0.383 0.982 0.799 1
N47 0.099 0.182 0.482 1
N48 0.401 0.383 0.583 1
Dy1 0.375 0.750 0.625 1
Dy2 0.750 0.875 0.625 1
Dy3 0.125 0.250 0.875 1
Dy4 0.750 0.375 0.125 1
Dy5 0.625 0.375 0.750 1
Dy6 0.125 0.875 0.750 1
Dy7 0.875 0.125 0.250 1
Dy8 0.625 0.250 0.375 1
Dy9 0.250 0.625 0.875 1
Dy10 0.875 0.750 0.125 1
Dy11 0.250 0.125 0.375 1
Dy12 0.375 0.625 0.250 1

Record 4
# DyTcN2 | Alexandria | PBE | optimized geometry
# Total DFT energy (no corrections) in eV/atom: -8.80
# Energy relative to the elements, uncorrected in meV/atom: -898
# Space group: Pnma (62)
# Magnetic moment in μB per atom: 0.000
data_DyTcN2
_chemical_formula_sum 'Dy4 Tc4 N8'
_cell_length_a 3.145
_cell_length_b 5.650
_cell_length_c 10.751
_cell_angle_alpha 90.00
_cell_angle_beta 90.00
_cell_angle_gamma 90.00
_symmetry_space_group_name_H-M 'P 1'
_symmetry_Int_Tables_number 1
loop_
_symmetry_equiv_pos_as_xyz
'x,y,z'
loop_
_atom_site_label
_atom_site_fract_x
_atom_site_fract_y
_atom_site_fract_z
_atom_site_occupancy
Tc1 0.750 0.938 0.597 1
Tc2 0.250 0.562 0.097 1
Tc3 0.750 0.438 0.903 1
Tc4 0.250 0.062 0.403 1
N1 0.750 0.671 0.746 1
N2 0.250 0.251 0.997 1
N3 0.750 0.749 0.003 1
N4 0.750 0.171 0.754 1
N5 0.750 0.249 0.497 1
N6 0.250 0.829 0.246 1
N7 0.250 0.329 0.254 1
N8 0.250 0.751 0.503 1
Dy1 0.750 0.075 0.148 1
Dy2 0.750 0.575 0.352 1
Dy3 0.250 0.425 0.648 1
Dy4 0.250 0.925 0.852 1

Record 5
# Dy4Te2N | Alexandria | PBE | optimized geometry
# Total DFT energy (no corrections) in eV/atom: -5.77
# Energy relative to the elements, uncorrected in meV/atom: -1050
# Space group: I4/mmm (139)
# Magnetic moment in μB per atom: 0.000
data_Dy4Te2N
_chemical_formula_sum 'Dy4 Te2 N1'
_cell_length_a 4.617
_cell_length_b 4.617
_cell_length_c 8.620
_cell_angle_alpha 74.47
_cell_angle_beta 74.47
_cell_angle_gamma 90.00
_symmetry_space_group_name_H-M 'P 1'
_symmetry_Int_Tables_number 1
loop_
_symmetry_equiv_pos_as_xyz
'x,y,z'
loop_
_atom_site_label
_atom_site_fract_x
_atom_site_fract_y
_atom_site_fract_z
_atom_site_occupancy
Dy1 0.837 0.837 0.325 1
Dy2 0.163 0.163 0.675 1
Dy3 0.000 0.500 0.000 1
Dy4 0.500 0.000 0.000 1
Te1 0.642 0.642 0.715 1
Te2 0.358 0.358 0.285 1
N1 0.000 0.000 0.000 1

Record 6
# Dy2TeN | Alexandria | PBE | optimized geometry
# Total DFT energy (no corrections) in eV/atom: -6.55
# Energy relative to the elements, uncorrected in meV/atom: -1384
# Space group: R-3m (166)
# Magnetic moment in μB per atom: 0.000
data_Dy2TeN
_chemical_formula_sum 'Dy2 Te1 N1'
_cell_length_a 3.750
_cell_length_b 3.750
_cell_length_c 7.244
_cell_angle_alpha 75.00
_cell_angle_beta 75.00
_cell_angle_gamma 60.00
_symmetry_space_group_name_H-M 'P 1'
_symmetry_Int_Tables_number 1
loop_
_symmetry_equiv_pos_as_xyz
'x,y,z'
loop_
_atom_site_label
_atom_site_fract_x
_atom_site_fract_y
_atom_site_fract_z
_atom_site_occupancy
N1 0.000 0.000 0.000 1
Te1 0.500 0.500 0.500 1
Dy1 0.728 0.728 0.816 1
Dy2 0.272 0.272 0.184 1

Record 7
# Dy3Te3N | Alexandria | PBE | optimized geometry
# Total DFT energy (no corrections) in eV/atom: -5.98
# Energy relative to the elements, uncorrected in meV/atom: -1475
# Space group: Pnma (62)
# Magnetic moment in μB per atom: 0.000
data_Dy3Te3N
_chemical_formula_sum 'Dy12 Te12 N4'
_cell_length_a 4.136
_cell_length_b 13.644
_cell_length_c 13.829
_cell_angle_alpha 90.00
_cell_angle_beta 90.00
_cell_angle_gamma 90.00
_symmetry_space_group_name_H-M 'P 1'
_symmetry_Int_Tables_number 1
loop_
_symmetry_equiv_pos_as_xyz
'x,y,z'
loop_
_atom_site_label
_atom_site_fract_x
_atom_site_fract_y
_atom_site_fract_z
_atom_site_occupancy
N1 0.250 0.532 0.707 1
N2 0.750 0.468 0.293 1
N3 0.250 0.032 0.793 1
N4 0.750 0.968 0.207 1
Dy1 0.250 0.540 0.340 1
Dy2 0.250 0.040 0.160 1
Dy3 0.250 0.684 0.651 1
Dy4 0.250 0.051 0.636 1
Dy5 0.750 0.949 0.364 1
Dy6 0.250 0.551 0.864 1
Dy7 0.750 0.960 0.840 1
Dy8 0.750 0.316 0.349 1
Dy9 0.750 0.460 0.660 1
Dy10 0.750 0.449 0.136 1
Dy11 0.250 0.184 0.849 1
Dy12 0.750 0.816 0.151 1
Te1 0.750 0.393 0.898 1
Te2 0.750 0.124 0.997 1
Te3 0.750 0.220 0.679 1
Te4 0.750 0.720 0.821 1
Te5 0.250 0.876 0.003 1
Te6 0.750 0.624 0.503 1
Te7 0.250 0.280 0.179 1
Te8 0.250 0.376 0.497 1
Te9 0.250 0.780 0.321 1
Te10 0.250 0.607 0.102 1
Te11 0.250 0.107 0.398 1
Te12 0.750 0.893 0.602 1

Record 8
# Dy5Te5N2 | Alexandria | PBE | optimized geometry
# Total DFT energy (no corrections) in eV/atom: -5.96
# Energy relative to the elements, uncorrected in meV/atom: -1342
# Space group: C2/m (12)
# Magnetic moment in μB per atom: 0.000
data_Dy5Te5N2
_chemical_formula_sum 'Dy5 Te5 N2'
_cell_length_a 4.022
_cell_length_b 7.819
_cell_length_c 10.506
_cell_angle_alpha 92.98
_cell_angle_beta 90.00
_cell_angle_gamma 104.90
_symmetry_space_group_name_H-M 'P 1'
_symmetry_Int_Tables_number 1
loop_
_symmetry_equiv_pos_as_xyz
'x,y,z'
loop_
_atom_site_label
_atom_site_fract_x
_atom_site_fract_y
_atom_site_fract_z
_atom_site_occupancy
N1 0.965 0.931 0.211 1
N2 0.035 0.069 0.789 1
Te1 0.759 0.517 0.369 1
Te2 0.647 0.293 0.071 1
Te3 0.241 0.483 0.631 1
Te4 0.353 0.707 0.929 1
Te5 0.500 0.000 0.500 1
Dy1 0.607 0.215 0.764 1
Dy2 0.903 0.807 0.686 1
Dy3 0.393 0.785 0.236 1
Dy4 0.097 0.193 0.314 1
Dy5 0.000 0.000 0.000 1